[1]
## LiBiB2O5 (PBE)

Data for crystalline LiBiB2O5 at its relaxed geometry.

Properties
Energy relative to the elements, uncorrected = -2029 meV/atom
Space-group type = Pna2_1
DOS at the Fermi energy = 0.000 states/eV/atom

Lattice parameters (Å, degrees): 4.426 11.574 13.503 90.00 90.00 90.00
Fractional coordinates of all 72 atoms:
Li: 0.716 0.906 0.095
Li: 0.278 0.738 0.154
Li: 0.778 0.238 0.346
Li: 0.216 0.406 0.405
Li: 0.784 0.906 0.595
Li: 0.222 0.738 0.654
Li: 0.722 0.238 0.846
Li: 0.284 0.406 0.905
Bi: 0.833 0.640 0.026
Bi: 0.208 0.004 0.221
Bi: 0.708 0.504 0.279
Bi: 0.333 0.140 0.474
Bi: 0.667 0.640 0.526
Bi: 0.292 0.004 0.721
Bi: 0.792 0.504 0.779
Bi: 0.167 0.140 0.974
B: 0.804 0.374 0.018
B: 0.297 0.454 0.108
B: 0.722 0.195 0.140
B: 0.219 0.274 0.232
B: 0.719 0.774 0.268
B: 0.222 0.695 0.360
B: 0.797 0.954 0.392
B: 0.304 0.874 0.482
B: 0.696 0.374 0.518
B: 0.203 0.454 0.608
B: 0.778 0.195 0.640
B: 0.281 0.274 0.732
B: 0.781 0.774 0.768
B: 0.278 0.695 0.860
B: 0.703 0.954 0.892
B: 0.196 0.874 0.982
O: 0.130 0.390 0.034
O: 0.275 0.896 0.089
O: 0.737 0.249 0.036
O: 0.631 0.455 0.081
O: 0.206 0.574 0.120
O: 0.831 0.074 0.127
O: 0.393 0.192 0.167
O: 0.288 0.399 0.212
O: 0.778 0.752 0.162
O: 0.891 0.259 0.213
O: 0.391 0.759 0.287
O: 0.278 0.252 0.338
O: 0.788 0.899 0.288
O: 0.893 0.692 0.333
O: 0.331 0.574 0.373
O: 0.706 0.074 0.380
O: 0.131 0.955 0.419
O: 0.237 0.749 0.464
O: 0.775 0.396 0.411
O: 0.630 0.890 0.466
O: 0.370 0.390 0.534
O: 0.225 0.896 0.589
O: 0.763 0.249 0.536
O: 0.869 0.455 0.581
O: 0.294 0.574 0.620
O: 0.669 0.074 0.627
O: 0.107 0.192 0.667
O: 0.212 0.399 0.712
O: 0.722 0.752 0.662
O: 0.609 0.259 0.713
O: 0.109 0.759 0.787
O: 0.222 0.252 0.838
O: 0.712 0.899 0.788
O: 0.607 0.692 0.833
O: 0.169 0.574 0.873
O: 0.794 0.074 0.880
O: 0.369 0.955 0.919
O: 0.263 0.749 0.964
O: 0.725 0.396 0.911
O: 0.870 0.890 0.966



[2]
## LiBiB2O5 (PBE)

Data for crystalline LiBiB2O5 at its relaxed geometry.

Properties
Energy relative to the elements, uncorrected = -2025 meV/atom
Space-group type = C2/c
DOS at the Fermi energy = 0.000 states/eV/atom

Lattice parameters (Å, degrees): 7.503 7.503 10.329 68.42 68.42 81.70
Fractional coordinates of all 36 atoms:
Li: 0.983 0.655 0.169
Li: 0.655 0.983 0.669
Li: 0.345 0.017 0.331
Li: 0.017 0.345 0.831
Bi: 0.857 0.143 0.250
Bi: 0.470 0.530 0.250
Bi: 0.530 0.470 0.750
Bi: 0.143 0.857 0.750
B: 0.799 0.778 0.427
B: 0.737 0.420 0.480
B: 0.778 0.799 0.927
B: 0.420 0.737 0.980
B: 0.580 0.263 0.020
B: 0.222 0.201 0.073
B: 0.263 0.580 0.520
B: 0.201 0.222 0.573
O: 0.743 0.912 0.494
O: 0.879 0.829 0.276
O: 0.912 0.743 0.994
O: 0.791 0.428 0.339
O: 0.369 0.718 0.391
O: 0.829 0.879 0.776
O: 0.580 0.770 0.016
O: 0.230 0.420 0.484
O: 0.428 0.791 0.839
O: 0.718 0.369 0.891
O: 0.282 0.631 0.109
O: 0.572 0.209 0.161
O: 0.770 0.580 0.516
O: 0.420 0.230 0.984
O: 0.171 0.121 0.224
O: 0.631 0.282 0.609
O: 0.209 0.572 0.661
O: 0.088 0.257 0.006
O: 0.121 0.171 0.724
O: 0.257 0.088 0.506



[3]
## Li3BiB2O6 (PBE)

Data for crystalline Li3BiB2O6 at its relaxed geometry.

Properties
Energy relative to the elements, uncorrected = -2081 meV/atom
Space-group type = P2_1/c
DOS at the Fermi energy = 0.000 states/eV/atom

Lattice parameters (Å, degrees): 9.308 6.799 10.554 54.90 90.00 90.00
Fractional coordinates of all 48 atoms:
Li: 0.209 0.751 0.688
Li: 0.720 0.577 0.882
Li: 0.146 0.315 0.900
Li: 0.646 0.685 0.600
Li: 0.220 0.423 0.618
Li: 0.709 0.249 0.812
Li: 0.291 0.751 0.188
Li: 0.780 0.577 0.382
Li: 0.354 0.315 0.400
Li: 0.854 0.685 0.100
Li: 0.280 0.423 0.118
Li: 0.791 0.249 0.312
Bi: 0.106 0.911 0.352
Bi: 0.606 0.089 0.148
Bi: 0.394 0.911 0.852
Bi: 0.894 0.089 0.648
B: 0.412 0.421 0.835
B: 0.899 0.139 0.101
B: 0.399 0.861 0.399
B: 0.912 0.579 0.665
B: 0.088 0.421 0.335
B: 0.601 0.139 0.601
B: 0.101 0.861 0.899
B: 0.588 0.579 0.165
O: 0.327 0.540 0.883
O: 0.057 0.545 0.690
O: 0.831 0.743 0.675
O: 0.046 0.139 0.096
O: 0.309 0.760 0.524
O: 0.830 0.023 0.249
O: 0.330 0.977 0.251
O: 0.809 0.240 0.976
O: 0.331 0.257 0.825
O: 0.546 0.861 0.404
O: 0.557 0.455 0.810
O: 0.827 0.460 0.617
O: 0.173 0.540 0.383
O: 0.443 0.545 0.190
O: 0.454 0.139 0.596
O: 0.669 0.743 0.175
O: 0.191 0.760 0.024
O: 0.670 0.023 0.749
O: 0.170 0.977 0.751
O: 0.691 0.240 0.476
O: 0.954 0.861 0.904
O: 0.169 0.257 0.325
O: 0.943 0.455 0.310
O: 0.673 0.460 0.117



[4]
## Li3BiB2O6 (PBE)

Data for crystalline Li3BiB2O6 at its relaxed geometry.

Properties
Energy relative to the elements, uncorrected = -2079 meV/atom
Space-group type = P2_1/c
DOS at the Fermi energy = 0.000 states/eV/atom

Lattice parameters (Å, degrees): 9.035 5.245 12.138 62.66 90.00 90.00
Fractional coordinates of all 48 atoms:
Li: 0.971 0.518 0.293
Li: 0.677 0.469 0.364
Li: 0.003 0.893 0.923
Li: 0.177 0.531 0.136
Li: 0.503 0.107 0.577
Li: 0.471 0.482 0.207
Li: 0.529 0.518 0.793
Li: 0.497 0.893 0.423
Li: 0.823 0.469 0.864
Li: 0.997 0.107 0.077
Li: 0.323 0.531 0.636
Li: 0.029 0.482 0.707
Bi: 0.376 0.916 0.896
Bi: 0.876 0.084 0.604
Bi: 0.124 0.916 0.396
Bi: 0.624 0.084 0.104
B: 0.319 0.444 0.386
B: 0.700 0.941 0.853
B: 0.819 0.556 0.114
B: 0.200 0.059 0.647
B: 0.800 0.941 0.353
B: 0.181 0.444 0.886
B: 0.300 0.059 0.147
B: 0.681 0.556 0.614
O: 0.339 0.836 0.121
O: 0.670 0.345 0.573
O: 0.944 0.710 0.109
O: 0.100 0.272 0.631
O: 0.343 0.084 0.687
O: 0.682 0.600 0.157
O: 0.182 0.400 0.343
O: 0.843 0.916 0.813
O: 0.600 0.728 0.869
O: 0.444 0.290 0.391
O: 0.839 0.164 0.379
O: 0.170 0.655 0.927
O: 0.830 0.345 0.073
O: 0.161 0.836 0.621
O: 0.556 0.710 0.609
O: 0.400 0.272 0.131
O: 0.157 0.084 0.187
O: 0.818 0.600 0.657
O: 0.318 0.400 0.843
O: 0.657 0.916 0.313
O: 0.900 0.728 0.369
O: 0.056 0.290 0.891
O: 0.330 0.655 0.427
O: 0.661 0.164 0.879



[5]
## LiBi2BO5 (PBE)

Data for crystalline LiBi2BO5 at its relaxed geometry.

Properties
Energy relative to the elements, uncorrected = -1658 meV/atom
Space-group type = Pnma
DOS at the Fermi energy = 0.000 states/eV/atom

Lattice parameters (Å, degrees): 5.878 6.855 11.533 90.00 90.00 90.00
Fractional coordinates of all 36 atoms:
Li: 0.233 0.750 0.345
Li: 0.267 0.250 0.845
Li: 0.733 0.750 0.155
Li: 0.767 0.250 0.655
Bi: 0.238 0.997 0.102
Bi: 0.238 0.503 0.102
Bi: 0.262 0.003 0.602
Bi: 0.262 0.497 0.602
Bi: 0.738 0.997 0.398
Bi: 0.738 0.503 0.398
Bi: 0.762 0.003 0.898
Bi: 0.762 0.497 0.898
B: 0.219 0.250 0.366
B: 0.281 0.750 0.866
B: 0.719 0.250 0.134
B: 0.781 0.750 0.634
O: 0.004 0.250 0.950
O: 0.140 0.073 0.416
O: 0.140 0.427 0.416
O: 0.135 0.750 0.776
O: 0.105 0.250 0.690
O: 0.395 0.750 0.190
O: 0.365 0.250 0.276
O: 0.360 0.573 0.916
O: 0.360 0.927 0.916
O: 0.496 0.750 0.450
O: 0.504 0.250 0.550
O: 0.640 0.073 0.084
O: 0.640 0.427 0.084
O: 0.635 0.750 0.724
O: 0.605 0.250 0.810
O: 0.895 0.750 0.310
O: 0.865 0.250 0.224
O: 0.860 0.927 0.584
O: 0.860 0.573 0.584
O: 0.996 0.750 0.050



[6]
## Li2Bi2B2O7 (PBE)

Data for crystalline Li2Bi2B2O7 at its relaxed geometry.

Properties
Energy relative to the elements, uncorrected = -1881 meV/atom
Space-group type = P2_1/c
DOS at the Fermi energy = 0.000 states/eV/atom

Lattice parameters (Å, degrees): 6.754 9.990 10.673 117.11 90.00 90.00
Fractional coordinates of all 52 atoms:
Li: 0.705 0.374 0.951
Li: 0.103 0.511 0.704
Li: 0.603 0.489 0.796
Li: 0.795 0.374 0.451
Li: 0.205 0.626 0.549
Li: 0.397 0.511 0.204
Li: 0.897 0.489 0.296
Li: 0.295 0.626 0.049
Bi: 0.538 0.999 0.811
Bi: 0.962 0.999 0.311
Bi: 0.430 0.198 0.581
Bi: 0.070 0.198 0.081
Bi: 0.930 0.802 0.919
Bi: 0.570 0.802 0.419
Bi: 0.038 0.001 0.689
Bi: 0.462 0.001 0.189
B: 0.287 0.330 0.921
B: 0.861 0.234 0.652
B: 0.213 0.330 0.421
B: 0.639 0.234 0.152
B: 0.361 0.766 0.848
B: 0.787 0.670 0.579
B: 0.139 0.766 0.348
B: 0.713 0.670 0.079
O: 0.882 0.017 0.900
O: 0.214 0.179 0.869
O: 0.785 0.179 0.742
O: 0.618 0.017 0.400
O: 0.045 0.174 0.593
O: 0.427 0.361 0.845
O: 0.286 0.179 0.369
O: 0.756 0.334 0.621
O: 0.715 0.179 0.242
O: 0.455 0.174 0.093
O: 0.282 0.431 0.550
O: 0.782 0.569 0.950
O: 0.073 0.361 0.345
O: 0.744 0.334 0.121
O: 0.256 0.666 0.879
O: 0.927 0.639 0.655
O: 0.218 0.431 0.050
O: 0.718 0.569 0.450
O: 0.545 0.826 0.907
O: 0.285 0.821 0.758
O: 0.244 0.666 0.379
O: 0.714 0.821 0.631
O: 0.573 0.639 0.155
O: 0.955 0.826 0.407
O: 0.382 0.983 0.600
O: 0.215 0.821 0.258
O: 0.786 0.821 0.131
O: 0.118 0.983 0.100



[7]
## Li7BiB2O8 (PBE)

Data for crystalline Li7BiB2O8 at its relaxed geometry.

Properties
Energy relative to the elements, uncorrected = -1986 meV/atom
Space-group type = C2/m
DOS at the Fermi energy = 0.000 states/eV/atom

Lattice parameters (Å, degrees): 8.055 8.055 7.566 88.32 88.32 46.73
Fractional coordinates of all 36 atoms:
Li: 0.186 0.676 0.372
Li: 0.676 0.186 0.372
Li: 0.926 0.926 0.724
Li: 0.356 0.356 0.152
Li: 0.068 0.570 0.876
Li: 0.570 0.068 0.876
Li: 0.430 0.932 0.124
Li: 0.932 0.430 0.124
Li: 0.644 0.644 0.848
Li: 0.074 0.074 0.276
Li: 0.814 0.324 0.628
Li: 0.324 0.814 0.628
Li: 0.000 0.000 0.000
Li: 0.500 0.500 0.000
Bi: 0.731 0.731 0.433
Bi: 0.269 0.269 0.567
B: 0.429 0.429 0.736
B: 0.861 0.861 0.156
B: 0.139 0.139 0.844
B: 0.571 0.571 0.264
O: 0.475 0.475 0.259
O: 0.948 0.948 0.244
O: 0.194 0.585 0.630
O: 0.585 0.194 0.630
O: 0.383 0.383 0.909
O: 0.868 0.868 0.966
O: 0.999 0.608 0.227
O: 0.608 0.999 0.227
O: 0.392 0.001 0.773
O: 0.001 0.392 0.773
O: 0.132 0.132 0.034
O: 0.617 0.617 0.091
O: 0.415 0.806 0.370
O: 0.806 0.415 0.370
O: 0.052 0.052 0.756
O: 0.525 0.525 0.741



[8]
## Li3BiB2O6 (PBE)

Data for crystalline Li3BiB2O6 at its relaxed geometry.

Properties
Energy relative to the elements, uncorrected = -2116 meV/atom
Space-group type = P2_1/c
DOS at the Fermi energy = 0.000 states/eV/atom

Lattice parameters (Å, degrees): 6.515 9.026 10.303 62.78 90.00 90.00
Fractional coordinates of all 48 atoms:
Li: 0.243 0.389 0.979
Li: 0.937 0.297 0.168
Li: 0.743 0.611 0.521
Li: 0.721 0.157 0.048
Li: 0.563 0.297 0.668
Li: 0.221 0.843 0.452
Li: 0.779 0.157 0.548
Li: 0.437 0.703 0.332
Li: 0.279 0.843 0.952
Li: 0.257 0.389 0.479
Li: 0.063 0.703 0.832
Li: 0.757 0.611 0.021
Bi: 0.475 0.190 0.300
Bi: 0.025 0.190 0.800
Bi: 0.975 0.810 0.200
Bi: 0.525 0.810 0.700
B: 0.334 0.541 0.674
B: 0.834 0.459 0.826
B: 0.833 0.953 0.390
B: 0.333 0.047 0.110
B: 0.667 0.953 0.890
B: 0.167 0.047 0.610
B: 0.166 0.541 0.174
B: 0.666 0.459 0.326
O: 0.789 0.612 0.822
O: 0.288 0.581 0.786
O: 0.435 0.663 0.551
O: 0.935 0.337 0.949
O: 0.788 0.419 0.714
O: 0.724 0.992 0.486
O: 0.432 0.199 0.062
O: 0.289 0.388 0.678
O: 0.831 0.067 0.244
O: 0.331 0.933 0.256
O: 0.932 0.801 0.438
O: 0.224 0.008 0.014
O: 0.776 0.992 0.986
O: 0.068 0.199 0.562
O: 0.669 0.067 0.744
O: 0.169 0.933 0.756
O: 0.711 0.612 0.322
O: 0.568 0.801 0.938
O: 0.276 0.008 0.514
O: 0.212 0.581 0.286
O: 0.065 0.663 0.051
O: 0.565 0.337 0.449
O: 0.712 0.419 0.214
O: 0.211 0.388 0.178



E_tot for the records above, in order: -6.911; -6.908; -6.475; -6.473; -6.230; -6.470; -5.891; -6.510 eV/atom